1.
LiRe2Te PBE-GGA optimized geometry; ΔE_f (raw) = 0.726 eV per atom; size of the total moment = 0.000 μB/cell; energy above the most stable polymorph in this dataset = 43.1 kJ/mol of atoms; N(E_F) = 2.3 states/eV per cell; theoretical density = 13.27 g cm⁻³
1.0
-0.139 3.177 0.885
-2.271 0.550 -2.331
-4.217 -1.247 3.815
Li Re Te
1 2 1
Cartesian
-4.368 0.928 2.138
-4.045 -1.196 3.659
-2.281 -0.675 2.064
-2.259 1.552 0.231

=====

2.
LiRe2Te PBE-GGA optimized geometry; ΔE_f (raw) = 0.585 eV per atom; size of the total moment = 0.000 μB/cell; energy above the most stable polymorph in this dataset = 29.5 kJ/mol of atoms; N(E_F) = 4.1 states/eV per cell; theoretical density = 11.82 g cm⁻³
1.0
3.889 0.000 0.000
0.000 3.889 0.000
1.944 1.944 9.416
Li Te Re
2 2 4
Cartesian
1.944 1.944 0.000
1.944 3.889 4.708
0.000 0.000 0.000
3.889 1.944 4.708
1.211 2.917 2.354
4.861 4.622 7.062
2.678 0.972 2.354
2.917 3.155 7.062

=====

3.
LiRe2Te2 PBE-GGA optimized geometry; ΔE_f (raw) = 0.655 eV per atom; size of the total moment = 0.000 μB/cell; energy above the most stable polymorph in this dataset = 16.1 kJ/mol of atoms; N(E_F) = 9.5 states/eV per cell; theoretical density = 11.05 g cm⁻³
1.0
7.671 0.000 0.000
0.000 7.671 0.000
0.000 0.000 3.242
Te Li Re
4 2 4
Cartesian
6.427 2.592 1.621
2.592 1.244 1.621
1.244 5.079 1.621
5.079 6.427 1.621
3.835 3.835 0.000
0.000 0.000 0.000
6.640 4.866 0.000
1.030 2.805 0.000
2.805 6.640 0.000
4.866 1.030 0.000

=====

4.
LiRe2Te PBE-GGA optimized geometry; ΔE_f (raw) = 0.603 eV per atom; size of the total moment = 0.000 μB/cell; energy above the most stable polymorph in this dataset = 31.2 kJ/mol of atoms; N(E_F) = 2.9 states/eV per cell; theoretical density = 12.73 g cm⁻³
1.0
-1.021 3.630 -3.855
-2.660 -1.379 -4.484
-0.459 -0.520 5.348
Li Re Te
1 2 1
Cartesian
-1.661 2.117 -1.338
0.000 0.000 0.000
-1.841 1.125 -4.169
-2.480 -0.387 -1.652

=====

5.
LiRe2Te PBE-GGA optimized geometry; ΔE_f (raw) = 0.615 eV per atom; size of the total moment = 0.000 μB/cell; energy above the most stable polymorph in this dataset = 32.4 kJ/mol of atoms; N(E_F) = 3.0 states/eV per cell; theoretical density = 12.79 g cm⁻³
1.0
4.650 0.000 0.000
0.000 3.762 0.000
0.000 0.000 3.762
Li Te Re
1 1 2
Cartesian
2.325 0.000 1.881
2.325 1.881 0.000
0.000 0.000 0.000
0.000 1.881 1.881

=====

6.
LiRe2Te PBE-GGA optimized geometry; ΔE_f (raw) = 0.530 eV per atom; size of the total moment = 0.000 μB/cell; energy above the most stable polymorph in this dataset = 24.2 kJ/mol of atoms; N(E_F) = 2.4 states/eV per cell; theoretical density = 11.16 g cm⁻³
1.0
4.714 0.000 0.000
0.000 3.422 0.012
0.000 -0.815 4.674
Li Te Re
1 1 2
Cartesian
2.357 1.955 3.515
2.357 0.652 1.172
0.000 1.041 2.666
0.000 -0.552 4.351

=====

7.
LiRe2Te PBE-GGA optimized geometry; ΔE_f (raw) = 0.279 eV per atom; size of the total moment = 0.000 μB/cell; energy above the most stable polymorph in this dataset = 0.0 kJ/mol of atoms; N(E_F) = 2.9 states/eV per cell; theoretical density = 11.29 g cm⁻³
1.0
3.094 0.000 0.000
0.000 3.054 0.043
0.000 1.422 7.913
Te Li Re
1 1 2
Cartesian
0.000 1.664 4.002
1.547 3.166 6.205
1.547 1.696 1.545
0.000 0.188 0.181

=====

8.
LiRe2Te PBE-GGA optimized geometry; ΔE_f (raw) = 0.409 eV per atom; size of the total moment = 0.000 μB/cell; energy above the most stable polymorph in this dataset = 12.6 kJ/mol of atoms; N(E_F) = 1.5 states/eV per cell; theoretical density = 12.13 g cm⁻³
1.0
9.433 0.042 0.025
8.962 2.943 0.025
8.962 1.454 2.558
Re Te Li
2 1 1
Cartesian
7.052 1.144 0.672
27.255 4.422 2.598
13.678 2.219 1.304
20.408 3.311 1.945

=====

9.
LiRe2Te PBE-GGA optimized geometry; ΔE_f (raw) = 0.624 eV per atom; size of the total moment = 0.001 μB/cell; energy above the most stable polymorph in this dataset = 33.3 kJ/mol of atoms; N(E_F) = 3.1 states/eV per cell; theoretical density = 12.05 g cm⁻³
1.0
5.989 -0.012 0.001
-3.626 4.766 0.001
0.781 1.572 2.451
Re Te Li
2 1 1
Cartesian
0.000 0.000 0.000
1.181 2.377 0.001
3.385 0.780 1.226
-1.423 3.169 1.226

=====

10.
LiZnRe2Te PBE-GGA optimized geometry; ΔE_f (raw) = 1.887 eV per atom; size of the total moment = 3.000 μB/cell; N(E_F) = 2.5 states/eV per cell; theoretical density = 7.57 g cm⁻³
1.0
4.934 0.000 0.000
0.000 5.156 0.000
0.000 0.000 4.934
Li Re Zn Te
1 2 1 1
Cartesian
2.467 2.578 2.467
0.000 0.000 2.467
2.467 0.000 0.000
0.000 2.578 0.000
0.000 0.000 0.000

=====

11.
LiTh2Re PBE-GGA optimized geometry; size of the total moment = 0.000 μB/cell; formation energy = 10.49 kJ/mol of atoms; N(E_F) = 2.5 states/eV per cell; theoretical density = 10.85 g cm⁻³
1.0
3.501 0.000 0.000
0.000 3.501 0.000
0.000 0.000 8.207
Li Th Re
1 2 1
Cartesian
1.751 1.751 4.104
0.000 0.000 6.417
0.000 0.000 1.790
1.751 1.751 0.000

=====

12.
LiTh2Re PBE-GGA optimized geometry; size of the total moment = 0.000 μB/cell; formation energy = 49.10 kJ/mol of atoms; N(E_F) = 6.6 states/eV per cell; theoretical density = 10.02 g cm⁻³
1.0
-2.378 -2.343 0.329
-0.272 -2.446 -2.279
6.170 -7.918 5.293
Th Re Li
2 1 1
Cartesian
-0.548 -6.672 -0.180
4.069 -6.035 3.522
1.760 -6.353 1.671
0.000 0.000 0.000

=====

What did the ninth record say?
LiRe2Te PBE-GGA optimized geometry; ΔE_f (raw) = 0.624 eV per atom; size of the total moment = 0.001 μB/cell; energy above the most stable polymorph in this dataset = 33.3 kJ/mol of atoms; N(E_F) = 3.1 states/eV per cell; theoretical density = 12.05 g cm⁻³
1.0
5.989 -0.012 0.001
-3.626 4.766 0.001
0.781 1.572 2.451
Re Te Li
2 1 1
Cartesian
0.000 0.000 0.000
1.181 2.377 0.001
3.385 0.780 1.226
-1.423 3.169 1.226